A relaxed structure of LiTb2Pb8. Source: the Alexandria database, functional GGA-PBE.

a b c (Å): 4.8154 4.8154 13.6396
angles (deg): 90.00 90.00 90.00
With the nearest neighbours (Å) after each atom.
Space group P4/mmm (No. 123)
Asymmetric unit:
Li 0.0000 0.0000 0.0000 (multiplicity 1)  8 Pb 3.00
Tb 0.0000 0.0000 0.3232 (multiplicity 2)  12 Pb 3.41-3.56
Pb 0.0000 0.5000 0.1315 (multiplicity 4)  2 Li 3.00
Pb 0.0000 0.5000 0.5000 (multiplicity 2)  8 Pb 3.41-3.54, 4 Tb 3.41
Pb 0.5000 0.5000 0.3094 (multiplicity 2)  4 Tb 3.41, 8 Pb 3.42-3.54

Calculated values
Raw total energy: -3.955 eV per atom
Magnetic moment: 0.0 μB per formula unit
DFT formation energy: -5.59 kcal/mol of atoms
V: 28.8 Å³ per atom


A relaxed structure of LiTb3Pb12. Source: the Alexandria database, functional GGA-PBE.

a b c (Å): 4.8396 4.8396 19.7473
angles (deg): 90.00 90.00 90.00
With the nearest neighbours (Å) after each atom.
Space group P4/mmm (No. 123)
Asymmetric unit:
Li 0.0000 0.0000 0.0000 (multiplicity 1)  12 Pb 3.40-3.42
Tb 0.0000 0.0000 0.2532 (multiplicity 2)  12 Pb 3.41-3.56
Tb 0.0000 0.0000 0.5000 (multiplicity 1)  12 Pb 3.42-3.46
Pb 0.0000 0.5000 0.1211 (multiplicity 4)  8 Pb 3.40-3.47, 2 Li 3.40, 2 Tb 3.56
Pb 0.0000 0.5000 0.3746 (multiplicity 4)  4 Tb 3.41-3.46, 8 Pb 3.42-3.50
Pb 0.5000 0.5000 0.0000 (multiplicity 1)  8 Pb 3.40, 4 Li 3.42
Pb 0.5000 0.5000 0.2469 (multiplicity 2)  4 Tb 3.42, 8 Pb 3.47-3.50
Pb 0.5000 0.5000 0.5000 (multiplicity 1)  4 Tb 3.42, 8 Pb 3.46

Calculated values
Raw total energy: -4.022 eV per atom
Magnetic moment: 0.0 μB per formula unit
DFT formation energy: -5.83 kcal/mol of atoms
V: 28.9 Å³ per atom


A relaxed structure of LiTbPb2. Source: the Alexandria database, functional GGA-PBE.

a b c (Å): 4.8132 4.8132 4.4475
angles (deg): 90.00 90.00 90.00
With the nearest neighbours (Å) after each atom.
Space group P4/mmm (No. 123)
Asymmetric unit:
Li 0.0000 0.0000 0.0000 (multiplicity 1)  8 Pb 3.28, 4 Tb 3.40
Tb 0.5000 0.5000 0.0000 (multiplicity 1)  8 Pb 3.28, 4 Li 3.40
Pb 0.0000 0.5000 0.5000 (multiplicity 2)  4 Tb 3.28, 4 Li 3.28, 4 Pb 3.40

Calculated values
Raw total energy: -3.903 eV per atom
Magnetic moment: 0.0 μB per formula unit
DFT formation energy: -9.52 kcal/mol of atoms
V: 25.8 Å³ per atom


A relaxed structure of LiTbPb6. Source: the Alexandria database, functional GGA-PBE.

a b c (Å): 4.8118 4.8118 9.9239
angles (deg): 90.00 90.00 90.00
With the nearest neighbours (Å) after each atom.
Space group P4/mmm (No. 123)
Asymmetric unit:
Li 0.0000 0.0000 0.0000 (multiplicity 1)  12 Pb 3.40-3.41
Tb 0.0000 0.0000 0.5000 (multiplicity 1)  12 Pb 3.40-3.50
Pb 0.0000 0.5000 0.2437 (multiplicity 4)  8 Pb 3.40-3.50, 2 Li 3.41, 2 Tb 3.50
Pb 0.5000 0.5000 0.0000 (multiplicity 1)  4 Li 3.40, 8 Pb 3.41
Pb 0.5000 0.5000 0.5000 (multiplicity 1)  4 Tb 3.40, 8 Pb 3.50

Calculated values
Raw total energy: -3.805 eV per atom
Magnetic moment: 0.0 μB per formula unit
DFT formation energy: -4.74 kcal/mol of atoms
V: 28.7 Å³ per atom


A relaxed structure of LiTbPb2. Source: the Alexandria database, functional GGA-PBE.

a b c (Å): 4.8259 4.8259 15.6901
angles (deg): 90.00 90.00 120.00
With the nearest neighbours (Å) after each atom.
Space group R-3m (No. 166, hexagonal axes)
Asymmetric unit:
Li 0.0000 0.0000 0.0000 (multiplicity 3)  6 Pb 2.99
Tb 0.0000 0.0000 0.5000 (multiplicity 3)  6 Pb 3.19
Pb 0.0000 0.0000 0.2651 (multiplicity 6)  3 Li 2.99, 3 Tb 3.19

Calculated values
Raw total energy: -3.802 eV per atom
Magnetic moment: 0.0 μB per formula unit
DFT formation energy: -7.19 kcal/mol of atoms
V: 26.4 Å³ per atom


A relaxed structure of Li4TbPb5. Source: the Alexandria database, functional GGA-PBE.

a b c (Å): 3.5843 3.5843 18.5528
angles (deg): 90.00 90.00 90.00
With the nearest neighbours (Å) after each atom.
Space group P4/mmm (No. 123)
Asymmetric unit:
Li 0.0000 0.0000 0.0947 (multiplicity 2)  8 Pb 3.08-3.10
Li 0.0000 0.0000 0.2864 (multiplicity 2)  8 Pb 3.08-3.09
Tb 0.0000 0.0000 0.5000 (multiplicity 1)  8 Pb 3.37, 4 Tb 3.58
Pb 0.5000 0.5000 0.0000 (multiplicity 1)  8 Li 3.08
Pb 0.5000 0.5000 0.1909 (multiplicity 2)  8 Li 3.09-3.10
Pb 0.5000 0.5000 0.3804 (multiplicity 2)  4 Li 3.08, 4 Tb 3.37

Calculated values
Raw total energy: -3.382 eV per atom
Magnetic moment: 0.0 μB per formula unit
DFT formation energy: -6.90 kcal/mol of atoms
V: 23.8 Å³ per atom


A relaxed structure of Li6TbPb6. Source: the Alexandria database, functional GGA-PBE.

a b c (Å): 5.9009 9.6250 10.3080
angles (deg): 90.00 90.00 90.00
With the nearest neighbours (Å) after each atom.
Space group Immm (No. 71)
Asymmetric unit:
Li 0.0000 0.2485 0.0000 (multiplicity 4)  6 Pb 2.93-3.08, 4 Li 2.97
Li 0.2500 0.2500 0.2500 (multiplicity 8)  4 Li 2.95-2.97, 6 Pb 2.95-3.09
Tb 0.0000 0.5000 0.5000 (multiplicity 2)  8 Pb 3.27-3.45
Pb 0.0000 0.0000 0.1637 (multiplicity 4)  6 Li 2.93-2.96
Pb 0.0000 0.1600 0.5000 (multiplicity 4)  6 Li 3.08-3.09, 1 Pb 3.08, 1 Tb 3.27
Pb 0.0000 0.5000 0.1655 (multiplicity 4)  6 Li 2.95-2.96

Calculated values
Raw total energy: -3.236 eV per atom
Magnetic moment: 0.0 μB per formula unit
DFT formation energy: -6.57 kcal/mol of atoms
V: 22.5 Å³ per atom


A relaxed structure of Li2TbPb4. Source: the Alexandria database, functional GGA-PBE.

a b c (Å): 7.2724 7.2724 7.3673
angles (deg): 90.00 90.00 90.00
With the nearest neighbours (Å) after each atom.
Space group I4/mmm (No. 139)
Asymmetric unit:
Li 0.0000 0.5000 0.0000 (multiplicity 4)  8 Pb 3.16
Tb 0.0000 0.0000 0.0000 (multiplicity 2)  8 Pb 3.16
Pb 0.2500 0.2500 0.2500 (multiplicity 8)  2 Tb 3.16, 4 Li 3.16

Calculated values
Raw total energy: -3.578 eV per atom
Magnetic moment: 0.0 μB per formula unit
DFT formation energy: -5.78 kcal/mol of atoms
V: 27.8 Å³ per atom